No. 1
UMo2Pt PBE relaxed; E_tot = -39.322 eV/cell; energy relative to the elements = -0.08 eV per atom; V = 17.34 Å³ per atom
1.0
-3.202 2.021 -1.148
-1.976 -1.134 3.513
1.466 3.416 1.927
Mo U Pt
2 1 1
direct
0.000 0.000 0.500
0.000 0.500 0.000
0.500 0.500 0.500
0.500 0.000 0.000



No. 2
Pm2Sm3Pt2 PBE relaxed; E_tot = -40.760 eV/cell; energy relative to the elements = -0.72 eV per atom; V = 28.62 Å³ per atom
1.0
3.855 0.000 0.000
-1.928 6.239 -0.440
0.000 -3.420 8.573
Pm Sm Pt
2 3 2
direct
0.837 0.673 0.188
0.163 0.327 0.812
0.385 0.770 0.566
0.500 0.000 0.000
0.615 0.230 0.434
0.828 0.657 0.762
0.172 0.343 0.238



No. 3
YReNi2As PBE relaxed; E_tot = -33.974 eV/cell; energy relative to the elements = 0.23 eV per atom; V = 19.81 Å³ per atom
1.0
4.611 0.000 0.000
0.000 4.659 0.000
0.000 0.000 4.611
Re As Ni Y
1 1 2 1
direct
0.000 0.000 0.000
0.000 0.500 0.000
0.000 0.000 0.500
0.500 0.000 0.000
0.500 0.500 0.500



| no. | total magnetic moment (μB per atom) |
| --- | --- |
| 1 | 0.000 |
| 2 | 0.000 |
| 3 | 0.000 |